[1]
Compound: CsLuSc
Source: OQMD via LeMat-Bulk
Functional: PBE-GGA
Structure: relaxed

Computed properties:
total magnetization = 3.26 μB/cell
ΔE to the lowest computed polymorph = 0 meV/atom
V = 141.0 Å³/cell

Cell: 5.8423 5.8423 5.8423 Å, 60.00 60.00 60.00°
With the nearest neighbours (Å) after each atom.
Atoms (fractional coordinates):
Cs1 0.0000 0.0000 0.0000  4 Sc 3.58
Lu1 0.5000 0.5000 0.5000  4 Sc 3.58
Sc1 0.2500 0.2500 0.2500  4 Lu 3.58, 4 Cs 3.58

[2]
Compound: Li4InGaIr2
Source: OQMD via LeMat-Bulk
Functional: PBE-GGA
Structure: relaxed

Computed properties:
total magnetization = 0.01 μB/cell
raw total energy = -0.1558 hartree per atom
V = 115.2 Å³/cell

Cell: 4.3086 4.3086 6.2036 Å, 90.00 90.00 90.00°
With the nearest neighbours (Å) after each atom.
Atoms (fractional coordinates):
Li1 0.0000 0.0000 0.0000  4 Li 2.72, 4 Ir 2.74
Li2 0.0000 0.5000 0.7326  4 Li 2.59-2.72, 2 Ga 2.59, 2 In 2.72, 1 Ir 2.86
Li3 0.5000 0.0000 0.2674  4 Li 2.59-2.72, 2 Ga 2.59, 2 In 2.72, 1 Ir 2.86
Li4 0.5000 0.5000 0.5000  4 Ir 2.58, 4 Li 2.59
In1 0.5000 0.5000 0.0000  4 Li 2.72, 4 Ir 2.74
Ga1 0.0000 0.0000 0.5000  4 Ir 2.58, 4 Li 2.59
Ir1 0.0000 0.5000 0.2719  5 Li 2.58-2.86, 2 Ga 2.58, 2 In 2.74
Ir2 0.5000 0.0000 0.7281  5 Li 2.58-2.86, 2 Ga 2.58, 2 In 2.74

[3]
Compound: MoOs6
Source: OQMD via LeMat-Bulk
Functional: PBE-GGA
Structure: relaxed

Computed properties:
total magnetization = 0.03 μB/cell
energy of formation from the pure elements = 0.671 eV/atom
V = 112.0 Å³/cell

Cell: 5.4107 5.4107 5.4107 Å, 60.00 60.00 60.00°
With the nearest neighbours (Å) after each atom.
Atoms (fractional coordinates):
Mo1 0.0000 0.0000 0.0000  12 Os 2.71
Os1 0.0000 0.0000 0.5000  2 Mo 2.71, 8 Os 2.71
Os2 0.0000 0.5000 0.0000  2 Mo 2.71, 8 Os 2.71
Os3 0.0000 0.5000 0.5000  2 Mo 2.71, 8 Os 2.71
Os4 0.5000 0.0000 0.0000  2 Mo 2.71, 8 Os 2.71
Os5 0.5000 0.0000 0.5000  2 Mo 2.71, 8 Os 2.71
Os6 0.5000 0.5000 0.0000  2 Mo 2.71, 8 Os 2.71

[4]
Compound: RbTbNO
Source: OQMD via LeMat-Bulk
Functional: PBE-GGA
Structure: relaxed

Computed properties:
total magnetization = 2.00 μB/cell
ΔE to the lowest computed polymorph = 613 meV/atom
V = 213.5 Å³/cell

Cell: 4.6259 4.6259 9.9759 Å, 90.00 90.00 90.00°
With the nearest neighbours (Å) after each atom.
Atoms (fractional coordinates):
Rb1 0.2500 0.2500 0.1367  4 O 2.68
Rb2 0.7500 0.7500 0.8633  4 O 2.68
Tb1 0.2500 0.7500 0.5000  4 N 2.35
Tb2 0.7500 0.2500 0.5000  4 N 2.35
N1 0.2500 0.2500 0.4558  4 Tb 2.35
N2 0.7500 0.7500 0.5442  4 Tb 2.35
O1 0.2500 0.7500 0.0000  4 Rb 2.68
O2 0.7500 0.2500 0.0000  4 Rb 2.68

[5]
Compound: CsSbAu
Source: OQMD via LeMat-Bulk
Functional: PBE-GGA
Structure: relaxed

Computed properties:
ΔE to the lowest computed polymorph = 610 meV/atom
V = 131.1 Å³/cell

Cell: 5.7019 5.7019 5.7019 Å, 60.00 60.00 60.00°
With the nearest neighbours (Å) after each atom.
Atoms (fractional coordinates):
Cs1 0.0000 0.0000 0.0000  4 Sb 3.49, 4 Au 3.49
Sb1 0.2500 0.2500 0.2500  4 Cs 3.49
Au1 0.7500 0.7500 0.7500  4 Cs 3.49

[6]
Compound: LiPrSeO
Source: OQMD via LeMat-Bulk
Functional: PBE-GGA
Structure: relaxed

Computed properties:
total magnetization = 0.00 μB/cell
ΔE to the lowest computed polymorph = 0 meV/atom
V = 147.6 Å³/cell

Cell: 4.0546 4.0546 8.9766 Å, 90.00 90.00 90.00°
With the nearest neighbours (Å) after each atom.
Atoms (fractional coordinates):
Li1 0.2500 0.7500 0.0000  4 Se 2.54
Li2 0.7500 0.2500 0.0000  4 Se 2.54
Pr1 0.2500 0.2500 0.3660  4 O 2.36
Pr2 0.7500 0.7500 0.6340  4 O 2.36
Se1 0.2500 0.2500 0.8289  4 Li 2.54
Se2 0.7500 0.7500 0.1711  4 Li 2.54
O1 0.2500 0.7500 0.5000  4 Pr 2.36
O2 0.7500 0.2500 0.5000  4 Pr 2.36

[7]
Compound: FeH2
Source: OQMD via LeMat-Bulk
Functional: PBE-GGA
Structure: relaxed

Computed properties:
total magnetization = 1.88 μB/cell
raw total energy = -0.1598 hartree per atom
V = 32.5 Å³/cell

Cell: 3.5823 3.5823 3.5823 Å, 60.00 60.00 60.00°
With the nearest neighbours (Å) after each atom.
Atoms (fractional coordinates):
Fe1 0.1250 0.1250 0.1250  12 H 2.10, 4 Fe 2.19
Fe2 0.8750 0.8750 0.8750  12 H 2.10, 4 Fe 2.19
H1 0.0000 0.5000 0.5000  6 H 1.79
H2 0.5000 0.0000 0.5000  6 H 1.79
H3 0.5000 0.5000 0.0000  6 H 1.79
H4 0.5000 0.5000 0.5000  6 H 1.79

What is the V in the third record? 112.0 Å³/cell